10
Lattice="5.7555 0.0000 0.0000 0.0000 5.7555 0.0000 0.0000 0.0000 5.6974" Properties=species:S:1:pos:R:3 comment="In2CoP2 (PBE-GGA, relaxed)" e_tot_ev_per_atom=-4.723 sg=P4/mbm pbc="T T T"
P 3.6623 0.7846 0.0000
P 0.7846 2.0932 0.0000
P 4.9709 3.6623 0.0000
P 2.0932 4.9709 0.0000
In 1.7394 1.1383 2.8487
In 1.1383 4.0161 2.8487
In 4.0161 4.6172 2.8487
In 4.6172 1.7394 2.8487
Co 2.8778 2.8778 0.0000
Co 0.0000 0.0000 0.0000